Computed, not measured: crystalline BaTiOs2Pb at its relaxed geometry at the PBE level of DFT.

Structure (POSCAR):
```
BaTiOs2Pb
1.0
-0.9533 -0.1150 -4.6244
-0.4298 -5.6069 0.2280
-4.6117 0.3917 0.9409
Pb Os Ba Ti
1 2 1 1
Direct
0.5000 0.5000 0.5000 Pb
0.0000 0.0000 0.5000 Os
0.5000 0.0000 0.0000 Os
0.0000 0.5000 0.0000 Ba
0.0000 0.0000 0.0000 Ti
```

Values from the calculation:
Energy (eV per cell): -29.9
Crystal system: tetragonal

Computed, not measured: crystalline Ba2TlOsPb at its relaxed geometry at the PBE level of DFT.

Structure (POSCAR):
```
Ba2TlOsPb
1.0
5.9628 0.0000 0.0000
0.0000 5.9628 0.0000
0.0000 0.0000 5.2835
Pb Tl Os Ba
1 1 1 2
Direct
0.0000 0.0000 0.5000 Pb
0.5000 0.5000 0.5000 Tl
0.0000 0.0000 0.0000 Os
0.0000 0.5000 0.0000 Ba
0.5000 0.0000 0.0000 Ba
```

Values from the calculation:
Energy (eV per cell): -20.1
Crystal system: tetragonal

Computed, not measured: crystalline Ba2VOsPb at its relaxed geometry at the PBE level of DFT.

Structure (POSCAR):
```
Ba2VOsPb
1.0
-1.4908 1.4776 5.5392
-4.9699 -1.0208 -1.0652
0.7871 -5.6165 1.7100
Pb Os Ba V
1 1 2 1
Direct
0.0000 0.5000 0.0000 Pb
0.5000 0.5000 0.5000 Os
0.0000 0.0000 0.5000 Ba
0.5000 0.0000 0.0000 Ba
0.0000 0.0000 0.0000 V
```

Values from the calculation:
Energy (eV per cell): -21.2
Crystal system: tetragonal

Computed, not measured: crystalline BaZrOs2Pb at its relaxed geometry at the PBE level of DFT.

Structure (POSCAR):
```
BaZrOs2Pb
1.0
-3.1217 3.2302 -2.2733
-3.2429 -4.2695 -1.6135
-2.6643 0.4171 4.2513
Pb Os Ba Zr
1 2 1 1
Direct
0.0000 0.5000 0.0000 Pb
0.0000 0.0000 0.5000 Os
0.5000 0.0000 0.0000 Os
0.5000 0.5000 0.5000 Ba
0.0000 0.0000 0.0000 Zr
```

Values from the calculation:
Energy (eV per cell): -31.1
Crystal system: tetragonal

Computed, not measured: crystalline BaOsPd2 at its relaxed geometry at the PBE level of DFT.

Structure (POSCAR):
```
BaOsPd2
1.0
1.2203 -3.4213 3.3017
-2.5539 -4.1841 0.2572
2.0398 -4.2149 -1.4726
Os Ba Pd
1 1 2
Direct
0.5000 0.5000 0.5000 Os
0.0000 0.0000 0.0000 Ba
0.2500 0.2500 0.2500 Pd
0.7500 0.7500 0.7500 Pd
```

Values from the calculation:
Excess energy over the best structure of this formula in the dataset (eV/f.u.): 0.95
Energy (eV per cell): -20.7
Crystal system: cubic

Computed, not measured: crystalline Ba2OsPd at its relaxed geometry at the PBE level of DFT.

Structure (POSCAR):
```
Ba2OsPd
1.0
1.7171 1.1422 4.9935
-3.5143 0.1300 4.1013
0.1051 -3.8673 3.7711
Os Ba Pd
1 2 1
Direct
0.5000 0.5000 0.5000 Os
0.2500 0.2500 0.2500 Ba
0.7500 0.7500 0.7500 Ba
0.0000 0.0000 0.0000 Pd
```

Values from the calculation:
Excess energy over the best structure of this formula in the dataset (eV/f.u.): 0.00
Energy (eV per cell): -18.1
Crystal system: cubic

Computed, not measured: crystalline Ba2OsPd at its relaxed geometry at the PBE level of DFT.

Structure (POSCAR):
```
Ba2OsPd
1.0
-5.0963 5.7140 3.5269
2.0491 -2.8931 7.6481
0.9709 3.5487 5.7280
Os Ba Pd
2 4 2
Direct
0.0000 0.0000 0.0000 Os
0.7500 0.2500 0.5000 Os
0.6305 0.1250 0.2500 Ba
0.1195 0.6250 0.2500 Ba
0.3750 0.3695 0.7500 Ba
0.8750 0.8805 0.7500 Ba
0.5000 0.5000 0.0000 Pd
0.2500 0.7500 0.5000 Pd
```

Values from the calculation:
Excess energy over the best structure of this formula in the dataset (eV/f.u.): 0.82
Energy (eV per cell): -34.5
Crystal system: tetragonal

Computed, not measured: crystalline BaOsPd2 at its relaxed geometry at the PBE level of DFT.

Structure (POSCAR):
```
BaOsPd2
1.0
-4.4838 -2.1923 -1.6169
1.2258 -4.4047 2.5730
-5.4927 -0.4060 7.2707
Os Ba Pd
2 2 4
Direct
0.0000 0.0000 0.0000 Os
0.7500 0.2500 0.5000 Os
0.5000 0.5000 0.0000 Ba
0.2500 0.7500 0.5000 Ba
0.8458 0.1250 0.2500 Pd
0.9042 0.6250 0.2500 Pd
0.3750 0.1542 0.7500 Pd
0.8750 0.0958 0.7500 Pd
```

Values from the calculation:
Excess energy over the best structure of this formula in the dataset (eV/f.u.): 0.00
Energy (eV per cell): -43.3
Crystal system: tetragonal

Computed, not measured: crystalline BaOsPdSe2 at its relaxed geometry at the PBE level of DFT.

Structure (POSCAR):
```
BaOsPdSe2
1.0
4.9867 0.0000 0.0000
0.0000 5.8048 0.0000
0.0000 0.0000 4.9867
Se Os Ba Pd
2 1 1 1
Direct
0.0000 0.0000 0.5000 Se
0.5000 0.0000 0.0000 Se
0.5000 0.5000 0.5000 Os
0.0000 0.5000 0.0000 Ba
0.0000 0.0000 0.0000 Pd
```

Values from the calculation:
Formation energy without anion corrections (eV per atom): 0.79
Energy (eV per cell): -21.4
Crystal system: tetragonal

Computed, not measured: crystalline BaOsPd2Se at its relaxed geometry at the PBE level of DFT.

Structure (POSCAR):
```
BaOsPd2Se
1.0
-3.0284 -2.8671 3.2425
4.0575 -0.3188 3.5078
-1.6794 4.4257 2.3448
Se Os Ba Pd
1 1 1 2
Direct
0.5000 0.5000 0.5000 Se
0.0000 0.5000 0.0000 Os
0.0000 0.0000 0.0000 Ba
0.0000 0.0000 0.5000 Pd
0.5000 0.0000 0.0000 Pd
```

Values from the calculation:
Formation energy without anion corrections (eV per atom): 1.99
Energy (eV per cell): -17.1
Crystal system: tetragonal

Computed, not measured: crystalline BaSnOsPd2 at its relaxed geometry at the PBE level of DFT.

Structure (POSCAR):
```
BaSnOsPd2
1.0
4.9753 0.0000 0.0000
0.0000 5.6338 0.0000
0.0000 0.0000 4.9753
Os Ba Pd Sn
1 1 2 1
Direct
0.0000 0.0000 0.0000 Os
0.0000 0.5000 0.0000 Ba
0.0000 0.0000 0.5000 Pd
0.5000 0.0000 0.0000 Pd
0.5000 0.5000 0.5000 Sn
```

Values from the calculation:
Energy (eV per cell): -23.2
Crystal system: tetragonal

Computed, not measured: crystalline BaTaOs2Pd at its relaxed geometry at the PBE level of DFT.

Structure (POSCAR):
```
BaTaOs2Pd
1.0
-3.1480 2.6101 2.8538
0.7652 -3.1172 3.6950
3.7881 2.8227 1.5969
Os Ba Pd Ta
2 1 1 1
Direct
0.0000 0.0000 0.5000 Os
0.5000 0.0000 0.0000 Os
0.0000 0.0000 0.0000 Ba
0.0000 0.5000 0.0000 Pd
0.5000 0.5000 0.5000 Ta
```

Values from the calculation:
Energy (eV per cell): -25.6
Crystal system: tetragonal

Computed, not measured: crystalline BaTlOsPd2 at its relaxed geometry at the PBE level of DFT.

Structure (POSCAR):
```
BaTlOsPd2
1.0
-4.5739 -0.2897 -2.7987
-2.0299 -3.1705 3.6457
-1.8947 4.2659 2.6549
Tl Os Ba Pd
1 1 1 2
Direct
0.5000 0.5000 0.5000 Tl
0.0000 0.5000 0.0000 Os
0.0000 0.0000 0.0000 Ba
0.0000 0.0000 0.5000 Pd
0.5000 0.0000 0.0000 Pd
```

Values from the calculation:
Energy (eV per cell): -17.3
Crystal system: tetragonal

Computed, not measured: crystalline BaTlOs2Pd at its relaxed geometry at the PBE level of DFT.

Structure (POSCAR):
```
BaTlOs2Pd
1.0
5.0573 0.0000 0.0000
0.0000 5.1219 0.0000
0.0000 0.0000 5.0573
Tl Os Ba Pd
1 2 1 1
Direct
0.0000 0.5000 0.0000 Tl
0.0000 0.0000 0.5000 Os
0.5000 0.0000 0.0000 Os
0.5000 0.5000 0.5000 Ba
0.0000 0.0000 0.0000 Pd
```

Values from the calculation:
Energy (eV per cell): -25.2
Crystal system: tetragonal

Computed, not measured: crystalline BaPm3Os at its relaxed geometry at the PBE level of DFT.

Structure (POSCAR):
```
BaPm3Os
1.0
-5.3345 -0.7649 1.8374
-0.9731 -3.5827 -4.3168
1.7361 -4.3585 3.2259
Os Ba Pm
1 1 3
Direct
0.0000 0.0000 0.0000 Os
0.5000 0.5000 0.5000 Ba
0.0000 0.5000 0.0000 Pm
0.0000 0.0000 0.5000 Pm
0.5000 0.0000 0.0000 Pm
```

Values from the calculation:
Energy (eV per cell): -27.3
Crystal system: cubic

Computed, not measured: crystalline BaPm2Os at its relaxed geometry at the PBE level of DFT.

Structure (POSCAR):
```
BaPm2Os
1.0
4.3038 0.0000 0.0000
2.1519 3.7272 0.0000
2.1519 1.2424 9.4420
Os Ba Pm
1 1 2
Direct
0.0000 0.0000 0.0000 Os
0.5000 0.5000 0.5000 Ba
0.7147 0.7147 0.8560 Pm
0.2853 0.2853 0.1440 Pm
```

Values from the calculation:
Excess energy over the best structure of this formula in the dataset (eV/f.u.): 0.09
Energy (eV per cell): -22.4
Crystal system: trigonal

Computed, not measured: crystalline BaPm2Os at its relaxed geometry at the PBE level of DFT.

Structure (POSCAR):
```
BaPm2Os
1.0
-0.3765 2.2684 2.7168
1.8180 -2.2202 2.1057
8.9249 4.7332 -2.7149
Os Ba Pm
1 1 2
Direct
0.5000 0.5000 0.0000 Os
0.5000 0.5000 0.5000 Ba
0.0000 0.0000 0.8404 Pm
0.0000 0.0000 0.1596 Pm
```

Values from the calculation:
Excess energy over the best structure of this formula in the dataset (eV/f.u.): 0.00
Energy (eV per cell): -22.5
Crystal system: tetragonal

Computed, not measured: crystalline BaPr2Os at its relaxed geometry at the PBE level of DFT.

Structure (POSCAR):
```
BaPr2Os
1.0
-3.9173 -1.4291 -0.0953
-0.8851 -3.7647 1.5623
-3.5002 2.8160 10.3705
Pr Os Ba
2 1 1
Direct
0.1206 0.1206 0.6381 Pr
0.8794 0.8794 0.3619 Pr
0.5000 0.5000 0.5000 Os
0.0000 0.0000 0.0000 Ba
```

Values from the calculation:
Energy (eV per cell): -21.9
Crystal system: trigonal

Computed, not measured: crystalline BaOs2Pt at its relaxed geometry at the PBE level of DFT.

Structure (POSCAR):
```
BaOs2Pt
1.0
-2.4223 3.2231 -2.3484
0.3247 -1.5508 -2.4633
-5.1673 -3.6407 0.3331
Os Ba Pt
2 1 1
Direct
0.0000 0.0429 0.0854 Os
0.0000 0.4571 0.4146 Os
0.5000 0.7500 0.7500 Ba
0.5000 0.2500 0.2500 Pt
```

Values from the calculation:
Excess energy over the best structure of this formula in the dataset (eV/f.u.): 3.06
Energy (eV per cell): -26.9
Crystal system: monoclinic

Computed, not measured: crystalline BaOsPt2 at its relaxed geometry at the PBE level of DFT.

Structure (POSCAR):
```
BaOsPt2
1.0
5.2180 0.0000 0.0000
0.0000 5.2180 0.0000
0.0000 0.0000 2.9197
Os Ba Pt
1 1 2
Direct
0.0000 0.5000 0.5000 Os
0.5000 0.0000 0.5000 Ba
0.0000 0.0000 0.0000 Pt
0.5000 0.5000 0.0000 Pt
```

Values from the calculation:
Excess energy over the best structure of this formula in the dataset (eV/f.u.): 2.67
Energy (eV per cell): -23.3
Crystal system: tetragonal

Computed, not measured: crystalline BaOs2Pt at its relaxed geometry at the PBE level of DFT.

Structure (POSCAR):
```
BaOs2Pt
1.0
10.4696 0.0163 0.0095
10.0628 2.8903 0.0095
10.0628 1.4245 2.5149
Os Ba Pt
2 1 1
Direct
0.9865 0.9865 0.9865 Os
0.5135 0.5135 0.5135 Os
0.7500 0.7500 0.7500 Ba
0.2500 0.2500 0.2500 Pt
```

Values from the calculation:
Excess energy over the best structure of this formula in the dataset (eV/f.u.): 3.91
Energy (eV per cell): -26.0
Crystal system: trigonal

Computed, not measured: crystalline BaOs2Pt at its relaxed geometry at the PBE level of DFT.

Structure (POSCAR):
```
BaOs2Pt
1.0
-0.6528 -1.9110 1.9837
3.7050 0.5467 1.7460
-2.6972 5.1793 4.1016
Os Ba Pt
2 1 1
Direct
0.0000 0.0000 0.0807 Os
0.0000 0.0000 0.4193 Os
0.5000 0.5000 0.7500 Ba
0.5000 0.5000 0.2500 Pt
```

Values from the calculation:
Excess energy over the best structure of this formula in the dataset (eV/f.u.): 2.79
Energy (eV per cell): -27.1
Crystal system: orthorhombic

Computed, not measured: crystalline BaOs2Pt at its relaxed geometry at the PBE level of DFT.

Structure (POSCAR):
```
BaOs2Pt
1.0
-0.4928 1.4966 5.0363
-2.1156 -3.8347 2.9439
4.0257 0.1129 -3.4100
Os Ba Pt
2 1 1
Direct
0.0000 0.0000 0.0000 Os
0.5000 0.5000 0.0000 Os
0.7500 0.2500 0.5000 Ba
0.2500 0.7500 0.5000 Pt
```

Values from the calculation:
Excess energy over the best structure of this formula in the dataset (eV/f.u.): 4.88
Energy (eV per cell): -25.1
Crystal system: tetragonal

Computed, not measured: crystalline BaOs2Pt at its relaxed geometry at the PBE level of DFT.

Structure (POSCAR):
```
BaOs2Pt
1.0
-4.1064 -2.3226 1.5833
1.9853 -4.0458 2.1105
1.2568 4.7256 0.9234
Os Ba Pt
2 1 1
Direct
0.0000 0.0000 0.0000 Os
0.2500 0.7500 0.5000 Os
0.7500 0.2500 0.5000 Ba
0.5000 0.5000 0.0000 Pt
```

Values from the calculation:
Excess energy over the best structure of this formula in the dataset (eV/f.u.): 4.46
Energy (eV per cell): -25.5
Crystal system: tetragonal

Computed, not measured: crystalline BaOsPt2 at its relaxed geometry at the PBE level of DFT.

Structure (POSCAR):
```
BaOsPt2
1.0
-1.8825 3.5662 -2.7030
-4.6490 -0.1988 -1.3841
-3.2401 3.0569 1.9301
Os Ba Pt
1 1 2
Direct
0.7500 0.7500 0.7500 Os
0.5000 0.5000 0.5000 Ba
0.0000 0.0000 0.0000 Pt
0.2500 0.2500 0.2500 Pt
```

Values from the calculation:
Excess energy over the best structure of this formula in the dataset (eV/f.u.): 3.99
Energy (eV per cell): -21.9
Crystal system: cubic

Computed, not measured: crystalline Ba4OsPt at its relaxed geometry at the PBE level of DFT.

Structure (POSCAR):
```
Ba4OsPt
1.0
5.3204 1.6769 3.5342
-0.2003 5.2744 3.9686
-0.0045 -0.7985 6.5553
Ba Os Pt
4 1 1
Direct
0.8746 0.3751 0.3751 Ba
0.3751 0.3751 0.8746 Ba
0.3751 0.8746 0.3751 Ba
0.3751 0.3751 0.3751 Ba
0.7500 0.7500 0.7500 Os
0.0000 0.0000 0.0000 Pt
```

Values from the calculation:
Energy (eV per cell): -17.5
Crystal system: cubic

Computed, not measured: crystalline BaOs2Pt at its relaxed geometry at the PBE level of DFT.

Structure (POSCAR):
```
BaOs2Pt
1.0
-1.6081 -1.0405 2.1640
3.9041 0.5129 3.1479
-1.6202 4.9914 1.1961
Os Ba Pt
2 1 1
Direct
0.0000 0.0000 0.0000 Os
0.5000 0.5000 0.0000 Os
0.0000 0.5000 0.5000 Ba
0.5000 0.0000 0.5000 Pt
```

Values from the calculation:
Excess energy over the best structure of this formula in the dataset (eV/f.u.): 3.92
Energy (eV per cell): -26.0
Crystal system: orthorhombic

Computed, not measured: crystalline BaOs2Pt at its relaxed geometry at the PBE level of DFT.

Structure (POSCAR):
```
BaOs2Pt
1.0
4.3403 0.0020 0.0155
2.1685 3.7597 0.0155
2.1486 1.2418 6.0007
Os Ba Pt
2 1 1
Direct
0.0623 0.0623 0.8131 Os
0.7326 0.7326 0.8019 Os
0.2512 0.2512 0.2465 Ba
0.4538 0.4538 0.6384 Pt
```

Values from the calculation:
Excess energy over the best structure of this formula in the dataset (eV/f.u.): 0.00
Energy (eV per cell): -29.9
Crystal system: trigonal

Computed, not measured: crystalline BaOsPt2 at its relaxed geometry at the PBE level of DFT.

Structure (POSCAR):
```
BaOsPt2
1.0
10.2099 0.0265 0.0155
9.7709 2.9617 0.0155
9.7709 1.4613 2.5761
Os Ba Pt
1 1 2
Direct
0.7500 0.7500 0.7500 Os
0.2500 0.2500 0.2500 Ba
0.0127 0.0127 0.0127 Pt
0.4873 0.4873 0.4873 Pt
```

Values from the calculation:
Excess energy over the best structure of this formula in the dataset (eV/f.u.): 3.19
Energy (eV per cell): -22.7
Crystal system: trigonal